SrTa2Mo: optimized geometry, GGA-PBE.

Geometry as POSCAR:
```
SrTa2Mo
1.0
4.935 0.000 0.000
0.000 4.935 0.000
0.000 0.000 3.296
Sr Ta Mo
1 2 1
direct
0.000 0.000 0.000
0.000 0.500 0.500
0.500 0.000 0.500
0.500 0.500 0.000
```

As for the magnetic moment: 0.0 μB/f.u. As for the formation energy: 1121 meV per atom. For the final energy, the calculation gives -7.933 eV/atom.